A relaxed Cs3InCl4 crystal. Source: Alexandria via LeMat-Bulk, functional PBE.

Properties
- raw total energy (Ry/atom) = -0.2375
- space group = Pmn2_1, No. 31
- magnetization (μB per formula unit) = 0.00
- ρ (g/cm³) = 2.68
- relative energy among the computed polymorphs (meV per atom) = 36.7
- formation energy from raw total energies (meV per atom) = -1646

a = 6.996 Å, b = 9.730 Å, c = 11.926 Å
α = 90.00°, β = 90.00°, γ = 90.00°
Fractional coordinates of all 16 atoms:
1 Cl 0.657 0.186 0.000
2 Cl 0.157 0.814 0.500
3 Cl 0.050 0.321 0.754
4 Cl 0.550 0.679 0.254
5 Cl 0.551 0.135 0.500
6 Cl 0.051 0.865 0.000
7 Cl 0.550 0.679 0.746
8 Cl 0.050 0.321 0.246
9 Cs 0.050 0.675 0.753
10 Cs 0.550 0.325 0.747
11 Cs 0.051 0.153 0.500
12 Cs 0.551 0.847 0.000
13 Cs 0.550 0.325 0.253
14 Cs 0.050 0.675 0.247
15 In 0.055 0.182 0.000
16 In 0.555 0.818 0.500

A relaxed La5N4Cl crystal. Source: Alexandria via LeMat-Bulk, functional PBE.

Properties
- raw total energy (Ry/atom) = -0.5447
- space group = C2/m, No. 12
- magnetization (μB per formula unit) = 0.00
- ρ (g/cm³) = 6.54
- formation energy from raw total energies (meV per atom) = -1433

a = 3.777 Å, b = 6.609 Å, c = 8.686 Å
α = 76.89°, β = 77.44°, γ = 73.40°
Fractional coordinates of all 10 atoms:
1 La 0.000 0.500 0.500
2 La 0.390 0.352 0.869
3 La 0.790 0.096 0.325
4 La 0.610 0.648 0.131
5 La 0.210 0.904 0.675
6 N 0.806 0.593 0.795
7 N 0.602 0.197 0.599
8 N 0.194 0.407 0.205
9 N 0.398 0.803 0.401
10 Cl 0.000 0.000 0.000

A relaxed CaCd2Ag crystal. Source: Alexandria via LeMat-Bulk, functional PBE.

Properties
- raw total energy (Ry/atom) = -0.1410
- space group = I-4m2, No. 119
- magnetization (μB per formula unit) = 0.00
- ρ (g/cm³) = 6.70
- formation energy from the elements (eV/atom) = -0.2471

a = 5.046 Å, b = 5.046 Å, c = 5.137 Å
α = 59.39°, β = 59.39°, γ = 61.24°
Fractional coordinates of all 4 atoms:
1 Ag 0.500 0.500 0.500
2 Ca 0.250 0.250 0.250
3 Cd 0.000 0.000 0.000
4 Cd 0.750 0.750 0.750

A relaxed ZrFe3Hg crystal. Source: Alexandria via LeMat-Bulk, functional PBE.

Properties
- raw total energy (Ry/atom) = -0.4018
- space group = Pm-3m, No. 221
- magnetization (μB per formula unit) = 7.63
- ρ (g/cm³) = 7.04
- relative energy among the computed polymorphs (meV per atom) = 0.0
- formation energy from the elements (eV/atom) = 1.3809

a = 4.767 Å, b = 4.767 Å, c = 4.767 Å
α = 90.00°, β = 90.00°, γ = 90.00°
Fractional coordinates of all 5 atoms:
1 Hg 0.000 0.000 0.000
2 Fe 0.000 0.500 0.000
3 Fe 0.500 0.000 0.000
4 Fe 0.000 0.000 0.500
5 Zr 0.500 0.500 0.500

A relaxed ReAgBr crystal. Source: Alexandria via LeMat-Bulk, functional PBE.

Properties
- raw total energy (Ry/atom) = -0.3441
- space group = I4mm, No. 107
- magnetization (μB per formula unit) = 0.00
- ρ (g/cm³) = 10.56
- relative energy among the computed polymorphs (meV per atom) = 175.1
- formation energy from raw total energies (meV per atom) = 976

a = 6.697 Å, b = 6.697 Å, c = 6.697 Å
α = 153.71°, β = 153.71°, γ = 37.52°
Fractional coordinates of all 3 atoms:
1 Re 0.678 0.678 0.000
2 Ag 0.028 0.028 0.000
3 Br 0.293 0.293 0.000

A relaxed PmNdAl2 crystal. Source: Alexandria via LeMat-Bulk, functional PBE.

Properties
- raw total energy (Ry/atom) = -0.3389
- space group = P4/mmm, No. 123
- magnetization (μB per formula unit) = 0.00
- ρ (g/cm³) = 5.56
- relative energy among the computed polymorphs (meV per atom) = 0.0
- formation energy from the elements (eV/atom) = -0.3602

a = 3.715 Å, b = 3.715 Å, c = 7.427 Å
α = 90.00°, β = 90.00°, γ = 90.00°
Fractional coordinates of all 4 atoms:
1 Al 0.000 0.000 0.247
2 Al 0.000 0.000 0.753
3 Nd 0.500 0.500 0.500
4 Pm 0.500 0.500 0.000

A relaxed La8TcRh3Br4 crystal. Source: Alexandria via LeMat-Bulk, functional PBE.

Properties
- raw total energy (Ry/atom) = -0.4385
- space group = R-3m, No. 166
- magnetization (μB per formula unit) = 0.00
- ρ (g/cm³) = 6.35
- formation energy from raw total energies (meV per atom) = -1057

a = 8.342 Å, b = 9.313 Å, c = 8.342 Å
α = 116.62°, β = 120.00°, γ = 90.00°
Fractional coordinates of all 16 atoms:
1 Rh 0.000 0.500 0.500
2 Rh 0.500 0.500 0.000
3 Rh 0.500 0.500 0.500
4 Tc 0.000 0.500 0.000
5 Br 0.500 0.000 0.500
6 Br 0.500 0.000 0.000
7 Br 0.000 0.000 0.000
8 Br 0.000 0.000 0.500
9 La 0.731 0.693 0.462
10 La 0.771 0.301 0.541
11 La 0.229 0.699 0.970
12 La 0.259 0.301 0.030
13 La 0.741 0.699 0.970
14 La 0.269 0.307 0.538
15 La 0.229 0.699 0.459
16 La 0.771 0.301 0.030

A relaxed Mn2PS crystal. Source: Alexandria via LeMat-Bulk, functional PBE.

Properties
- raw total energy (Ry/atom) = -0.5190
- space group = I-42d, No. 122
- magnetization (μB per formula unit) = 1.63
- ρ (g/cm³) = 4.52
- relative energy among the computed polymorphs (meV per atom) = 2.9
- formation energy from raw total energies (meV per atom) = -92

a = 5.044 Å, b = 5.044 Å, c = 6.135 Å
α = 65.73°, β = 65.73°, γ = 90.00°
Fractional coordinates of all 8 atoms:
1 Mn 0.119 0.625 0.250
2 Mn 0.875 0.881 0.750
3 Mn 0.631 0.125 0.250
4 Mn 0.375 0.369 0.750
5 S 0.000 0.000 0.000
6 S 0.750 0.250 0.500
7 P 0.250 0.750 0.500
8 P 0.500 0.500 0.000

Copy entry 4 word for word.
A relaxed ZrFe3Hg crystal. Source: Alexandria via LeMat-Bulk, functional PBE.

Properties
- raw total energy (Ry/atom) = -0.4018
- space group = Pm-3m, No. 221
- magnetization (μB per formula unit) = 7.63
- ρ (g/cm³) = 7.04
- relative energy among the computed polymorphs (meV per atom) = 0.0
- formation energy from the elements (eV/atom) = 1.3809

a = 4.767 Å, b = 4.767 Å, c = 4.767 Å
α = 90.00°, β = 90.00°, γ = 90.00°
Fractional coordinates of all 5 atoms:
1 Hg 0.000 0.000 0.000
2 Fe 0.000 0.500 0.000
3 Fe 0.500 0.000 0.000
4 Fe 0.000 0.000 0.500
5 Zr 0.500 0.500 0.500

What did the second record say?
A relaxed La5N4Cl crystal. Source: Alexandria via LeMat-Bulk, functional PBE.

Properties
- raw total energy (Ry/atom) = -0.5447
- space group = C2/m, No. 12
- magnetization (μB per formula unit) = 0.00
- ρ (g/cm³) = 6.54
- formation energy from raw total energies (meV per atom) = -1433

a = 3.777 Å, b = 6.609 Å, c = 8.686 Å
α = 76.89°, β = 77.44°, γ = 73.40°
Fractional coordinates of all 10 atoms:
1 La 0.000 0.500 0.500
2 La 0.390 0.352 0.869
3 La 0.790 0.096 0.325
4 La 0.610 0.648 0.131
5 La 0.210 0.904 0.675
6 N 0.806 0.593 0.795
7 N 0.602 0.197 0.599
8 N 0.194 0.407 0.205
9 N 0.398 0.803 0.401
10 Cl 0.000 0.000 0.000

Q: Which value of ρ does entry 4 give?
A: 7.04 g/cm³